A geometry-optimized LiTl2In structure. Source: Alexandria via LeMat-Bulk, functional PBE.

Energy of formation   -0.0618 eV per atom
Total energy   -38.528 eV/cell
Space group   Pbcn, No. 60

a b c (Å): 6.032 7.161 9.699
angles (deg): 90.00 90.00 90.00
Sites, in units of the cell vectors:
Li (0.000, 0.116, 0.250)
Li (0.000, 0.884, 0.750)
Li (0.500, 0.384, 0.750)
Li (0.500, 0.616, 0.250)
Tl (0.226, 0.145, 0.525)
Tl (0.226, 0.855, 0.025)
Tl (0.274, 0.355, 0.025)
Tl (0.274, 0.645, 0.525)
Tl (0.726, 0.355, 0.475)
Tl (0.726, 0.645, 0.975)
Tl (0.774, 0.145, 0.975)
Tl (0.774, 0.855, 0.475)
In (0.000, 0.425, 0.750)
In (0.000, 0.575, 0.250)
In (0.500, 0.075, 0.250)
In (0.500, 0.925, 0.750)

=====

A geometry-optimized CdPd2RhI structure. Source: Alexandria via LeMat-Bulk, functional PBE.

Total energy   -16.705 eV/cell
Space group   P4/mmm, No. 123
ΔE_f (raw)   700 meV/atom

a b c (Å): 4.923 4.923 5.166
angles (deg): 90.00 90.00 90.00
Sites, in units of the cell vectors:
Cd (0.000, 0.000, 0.000)
Pd (0.000, 0.500, 0.500)
Pd (0.500, 0.000, 0.500)
Rh (0.000, 0.000, 0.500)
I (0.500, 0.500, 0.000)

=====

A geometry-optimized RbSc2In structure. Source: Alexandria via LeMat-Bulk, functional PBE.

Energy of formation   0.2622 eV per atom
Total energy   -45.961 eV/cell
Space group   R-3m, No. 166

a b c (Å): 3.447 3.447 35.199
angles (deg): 90.00 90.00 120.00
Sites, in units of the cell vectors:
Rb (0.000, 0.000, 0.000)
Rb (0.333, 0.667, 0.667)
Rb (0.667, 0.333, 0.333)
Sc (0.000, 0.000, 0.100)
Sc (0.000, 0.000, 0.900)
Sc (0.333, 0.667, 0.567)
Sc (0.333, 0.667, 0.766)
Sc (0.667, 0.333, 0.234)
Sc (0.667, 0.333, 0.433)
In (0.000, 0.000, 0.500)
In (0.333, 0.667, 0.167)
In (0.667, 0.333, 0.833)